Compound: LiCuAsIr
Source: OQMD
Functional: PBE-GGA
Structure: optimized geometry

It has space group F-43m (No. 216), with a = 5.9726 Å, b = 5.9726 Å, c = 5.9726 Å, α = 90.00°, β = 90.00° and γ = 90.00°. The inequivalent atoms are Li at (0.0000, 0.0000, 0.0000), Cu at (0.2500, 0.2500, 0.7500), As at (0.0000, 0.0000, 0.5000) and Ir at (0.2500, 0.2500, 0.2500).

The value obtained for the energy above the most stable polymorph in this dataset is 0.00 eV/f.u.

Compound: MgCuAsIr
Source: OQMD
Functional: PBE-GGA
Structure: optimized geometry

It has space group F-43m (No. 216), with a = 6.2348 Å, b = 6.2348 Å, c = 6.2348 Å, α = 90.00°, β = 90.00° and γ = 90.00°. The inequivalent atoms are Mg at (0.0000, 0.0000, 0.0000), Cu at (0.2500, 0.2500, 0.7500), As at (0.0000, 0.0000, 0.5000) and Ir at (0.2500, 0.2500, 0.2500).

The value obtained for the energy above the most stable polymorph in this dataset is 0.00 eV/f.u.

Compound: CuMoAsIr
Source: OQMD
Functional: PBE-GGA
Structure: optimized geometry

It has space group F-43m (No. 216), with a = 6.1861 Å, b = 6.1861 Å, c = 6.1861 Å, α = 90.00°, β = 90.00° and γ = 90.00°. The inequivalent atoms are Cu at (0.0000, 0.0000, 0.0000), Mo at (0.0000, 0.0000, 0.5000), As at (0.2500, 0.2500, 0.7500) and Ir at (0.2500, 0.2500, 0.2500).

The value obtained for the energy above the most stable polymorph in this dataset is 0.00 eV/f.u.

Compound: NaCuAs2Ir
Source: OQMD
Functional: PBE-GGA
Structure: optimized geometry

It has space group I-4m2 (No. 119), with a = 4.0802 Å, b = 4.0802 Å, c = 11.4879 Å, α = 90.00°, β = 90.00° and γ = 90.00°. The inequivalent atoms are Na at (0.0000, 0.0000, 0.0000), Cu at (0.0000, 0.5000, 0.2500), As at (0.0000, 0.0000, 0.3695) and Ir at (0.0000, 0.5000, 0.7500).

Compound: NbCuAsIr
Source: OQMD
Functional: PBE-GGA
Structure: optimized geometry

It has space group F-43m (No. 216), with a = 6.3124 Å, b = 6.3124 Å, c = 6.3124 Å, α = 90.00°, β = 90.00° and γ = 90.00°. The inequivalent atoms are Nb at (0.0000, 0.0000, 0.0000), Cu at (0.2500, 0.2500, 0.7500), As at (0.0000, 0.0000, 0.5000) and Ir at (0.2500, 0.2500, 0.2500).

The value obtained for the energy above the most stable polymorph in this dataset is 0.43 eV/f.u.

Compound: NbCuAsIr
Source: OQMD
Functional: PBE-GGA
Structure: optimized geometry

It has space group F-43m (No. 216), with a = 6.2871 Å, b = 6.2871 Å, c = 6.2871 Å, α = 90.00°, β = 90.00° and γ = 90.00°. The inequivalent atoms are Nb at (0.0000, 0.0000, 0.0000), Cu at (0.0000, 0.0000, 0.5000), As at (0.2500, 0.2500, 0.2500) and Ir at (0.2500, 0.2500, 0.7500).

The value obtained for the energy above the most stable polymorph in this dataset is 0.00 eV/f.u.

Compound: CuNiAsIr
Source: OQMD
Functional: PBE-GGA
Structure: optimized geometry

It has space group F-43m (No. 216), with a = 5.9859 Å, b = 5.9859 Å, c = 5.9859 Å, α = 90.00°, β = 90.00° and γ = 90.00°. The inequivalent atoms are Cu at (0.0000, 0.0000, 0.0000), Ni at (0.2500, 0.2500, 0.2500), As at (0.2500, 0.2500, 0.7500) and Ir at (0.0000, 0.0000, 0.5000).

The value obtained for the energy above the most stable polymorph in this dataset is 0.00 eV/f.u.

Compound: CuNiAsIr
Source: OQMD
Functional: PBE-GGA
Structure: optimized geometry

It has space group F-43m (No. 216), with a = 6.0041 Å, b = 6.0041 Å, c = 6.0041 Å, α = 90.00°, β = 90.00° and γ = 90.00°. The inequivalent atoms are Cu at (0.0000, 0.0000, 0.0000), Ni at (0.0000, 0.0000, 0.5000), As at (0.2500, 0.2500, 0.7500) and Ir at (0.2500, 0.2500, 0.2500).

The value obtained for the energy above the most stable polymorph in this dataset is 0.60 eV/f.u.

Summary of spin magnetization in μB/atom
0.001, 0.001, 0.003, 0.001, 0.003, 0.000, 0.003, 0.002
(order as listed above)
Summary of total DFT energy (no corrections) in eV/atom
-4.87, -4.76, -6.85, -4.83, -6.78, -6.89, -5.60, -5.45
(order as listed above)